Below is a relaxed structure of KAl2Fe, with properties calculated at the PBE level.

a b c (Å): 2.9868 2.9864 8.5450
angles (deg): 90.00 90.00 90.00
Each line ends with the local moment (μB).
Fractional positions:
K (0.5000, 0.5000, 0.7500)  0.05
Al (0.0000, 0.0000, 0.4068)  0.02
Al (0.0000, 0.0000, 0.0932)  0.02
Fe (0.5000, 0.5000, 0.2500)  0.32

Computed properties:
As for the symmetry: P4/mmm. For the formation energy, the calculation gives 0.1416 eV/atom. As for the crystal system: tetragonal. The calculation puts the distance to the lowest polymorph of the same formula at 0 meV per atom. The calculation puts the density of states at the Fermi level at 3.139 states/eV per cell. The calculation puts the calculated total energy at -4.120 eV per atom.